[1]
The following is a GGA-PBE calculation of a relaxed structure of Pm3Y4TmS8, from the Alexandria database.

It has space group R-3m (No. 166, hexagonal axes), with a = 7.9044 Å, b = 7.9044 Å, c = 19.3988 Å, α = 90.00°, β = 90.00° and γ = 120.00°. The distinct sites, in fractional coordinates, are Pm at (0.0000, 0.5000, 0.0000), Y at (0.0000, 0.0000, 0.5000), Y at (0.0000, 0.5000, 0.5000), Tm at (0.0000, 0.0000, 0.0000), S at (0.0000, 0.0000, 0.2461) and S at (0.0089, 0.5045, 0.7516).

***

[2]
The following is a GGA-PBE calculation of a relaxed structure of ZrPHRu, from the Alexandria database.

It has space group P4/nmm (No. 129, origin choice 2), with a = 3.9062 Å, b = 3.9062 Å, c = 6.5949 Å, α = 90.00°, β = 90.00° and γ = 90.00°. The distinct sites, in fractional coordinates, are Zr at (0.2500, 0.2500, 0.1488), P at (0.2500, 0.2500, 0.6979), H at (0.2500, 0.7500, 0.0000) and Ru at (0.2500, 0.7500, 0.5000).

***

[3]
The following is a GGA-PBE calculation of a relaxed structure of CaPCl2F, from the Alexandria database.

It has space group P4/mmm (No. 123), with a = 5.3643 Å, b = 5.3643 Å, c = 3.8147 Å, α = 90.00°, β = 90.00° and γ = 90.00°. The distinct sites, in fractional coordinates, are Ca at (0.0000, 0.0000, 0.0000), P at (0.5000, 0.5000, 0.0000), Cl at (0.0000, 0.5000, 0.5000) and F at (0.5000, 0.5000, 0.5000).

The calculation puts the energy above the most stable polymorph in this dataset at 0.0000 eV per atom.

***

[4]
The following is a GGA-PBE calculation of a relaxed structure of Tb2PmEr4Tm, from the Alexandria database.

It has space group C2/c (No. 15), with a = 13.5048 Å, b = 13.2224 Å, c = 6.7546 Å, α = 90.00°, β = 120.01° and γ = 90.00°. The distinct sites, in fractional coordinates, are Tb at (0.0000, 0.0000, 0.0000), Tb at (0.2500, 0.2500, 0.0000), Pm at (0.2500, 0.2500, 0.5000), Er at (0.0005, 0.2523, 0.5014), Er at (0.2479, 0.4992, 0.9965) and Tm at (0.0000, 0.5000, 0.0000).

For the formation energy, the calculation gives 0.4430 eV per atom.

***

[5]
The following is a GGA-PBE calculation of a relaxed structure of CsErTl2Cl6, from the Alexandria database.

It has space group P1 (No. 1), with a = 7.9524 Å, b = 7.9595 Å, c = 8.2529 Å, α = 61.20°, β = 61.21° and γ = 60.04°. The distinct sites, in fractional coordinates, are Cs at (0.0000, 0.0000, 0.0000), Er at (0.5140, 0.5139, 0.4579), Tl at (0.2054, 0.2049, 0.3842), Tl at (0.7180, 0.7173, 0.8466), Cl at (0.1810, 0.7370, 0.6620), Cl at (0.3423, 0.5834, 0.2131), Cl at (0.4201, 0.1807, 0.6617), Cl at (0.5834, 0.8606, 0.2129), Cl at (0.7379, 0.4198, 0.6615) and Cl at (0.8606, 0.3429, 0.2128).

***

[6]
The following is a GGA-PBE calculation of a relaxed structure of Ac2Sb3, from the Alexandria database.

It has space group P-3m1 (No. 164), with a = 4.8237 Å, b = 4.8237 Å, c = 9.3962 Å, α = 90.00°, β = 90.00° and γ = 120.00°. The distinct sites, in fractional coordinates, are Ac at (0.3333, 0.6667, 0.2993), Sb at (0.0000, 0.0000, 0.5000) and Sb at (0.3333, 0.6667, 0.9359).

***

[7]
The following is a GGA-PBE calculation of a relaxed structure of Ni4MoPt3, from the Alexandria database.

It has space group Fmmm (No. 69), with a = 5.4267 Å, b = 5.4333 Å, c = 14.4378 Å, α = 90.00°, β = 90.00° and γ = 90.00°. The distinct sites, in fractional coordinates, are Ni at (0.2500, 0.2500, 0.1215), Mo at (0.0000, 0.0000, 0.0000), Pt at (0.0000, 0.0000, 0.2517) and Pt at (0.0000, 0.0000, 0.5000).

For the formation energy, the calculation gives -0.1250 eV per atom. The calculation puts the energy above the most stable polymorph in this dataset at 0.0000 eV per atom.

***

[8]
The following is a GGA-PBE calculation of a relaxed structure of TbNd2Ho2Sc, from the Alexandria database.

It has space group Pmc2_1 (No. 26), with a = 5.6442 Å, b = 10.8156 Å, c = 6.2435 Å, α = 90.00°, β = 90.00° and γ = 90.00°. The distinct sites, in fractional coordinates, are Tb at (0.0000, 0.2431, 0.0000), Nd at (0.0000, 0.4189, 0.4910), Nd at (0.5000, 0.2422, 0.6597), Ho at (0.0000, 0.0766, 0.4832), Ho at (0.5000, 0.4108, 0.1589) and Sc at (0.5000, 0.0795, 0.1576).

For the formation energy, the calculation gives 0.0408 eV per atom.

***

[9]
The following is a GGA-PBE calculation of a relaxed structure of Er2MnPb, from the Alexandria database.

It has space group P4/mmm (No. 123), with a = 3.5811 Å, b = 3.5811 Å, c = 7.6899 Å, α = 90.00°, β = 90.00° and γ = 90.00°. The distinct sites, in fractional coordinates, are Er at (0.0000, 0.0000, 0.2194), Mn at (0.5000, 0.5000, 0.0000) and Pb at (0.5000, 0.5000, 0.5000).

For the formation energy, the calculation gives -0.1265 eV per atom.

***

[10]
The following is a GGA-PBE calculation of a relaxed structure of NdEr2Sn, from the Alexandria database.

It has space group P4/mmm (No. 123), with a = 3.7647 Å, b = 3.7647 Å, c = 8.4218 Å, α = 90.00°, β = 90.00° and γ = 90.00°. The distinct sites, in fractional coordinates, are Nd at (0.0000, 0.0000, 0.0000), Er at (0.5000, 0.5000, 0.2853) and Sn at (0.0000, 0.0000, 0.5000).

For the formation energy, the calculation gives -0.2983 eV per atom. The calculation puts the energy above the most stable polymorph in this dataset at 0.1223 eV per atom.

***

[11]
The following is a GGA-PBE calculation of a relaxed structure of Sm3Ga2Au6, from the Alexandria database.

It has space group I4/mmm (No. 139), with a = 4.0540 Å, b = 4.0540 Å, c = 30.2565 Å, α = 90.00°, β = 90.00° and γ = 90.00°. The distinct sites, in fractional coordinates, are Sm at (0.0000, 0.0000, 0.0000), Sm at (0.0000, 0.0000, 0.1765), Ga at (0.0000, 0.0000, 0.3659), Au at (0.0000, 0.0000, 0.2767) and Au at (0.0000, 0.5000, 0.0775).

For the formation energy, the calculation gives -0.5358 eV per atom.

***

[12]
The following is a GGA-PBE calculation of a relaxed structure of Zn12Au17, from the Alexandria database.

It has space group I-43m (No. 217), with a = 9.8914 Å, b = 9.8914 Å, c = 9.8914 Å, α = 90.00°, β = 90.00° and γ = 90.00°. The distinct sites, in fractional coordinates, are Zn at (0.0945, 0.0945, 0.7131), Au at (0.0000, 0.0000, 0.0000), Au at (0.0520, 0.3590, 0.6410) and Au at (0.1618, 0.1618, 0.1618).

For the formation energy, the calculation gives -0.1225 eV per atom.

***

[13]
The following is a GGA-PBE calculation of a relaxed structure of CrCdSe2, from the Alexandria database.

It has space group F-43m (No. 216), with a = 6.9029 Å, b = 6.9029 Å, c = 6.9029 Å, α = 90.00°, β = 90.00° and γ = 90.00°. The distinct sites, in fractional coordinates, are Cr at (0.0000, 0.0000, 0.0000), Cd at (0.2500, 0.2500, 0.2500), Se at (0.0000, 0.0000, 0.5000) and Se at (0.2500, 0.2500, 0.7500).

***

[14]
The following is a GGA-PBE calculation of a relaxed structure of Sr2Sb3AsPd4, from the Alexandria database.

It has space group P-4m2 (No. 115), with a = 4.6633 Å, b = 4.6633 Å, c = 10.6231 Å, α = 90.00°, β = 90.00° and γ = 90.00°. The distinct sites, in fractional coordinates, are Sr at (0.0000, 0.5000, 0.2502), Sb at (0.0000, 0.0000, 0.0000), Sb at (0.0000, 0.5000, 0.6304), As at (0.5000, 0.5000, 0.0000), Pd at (0.0000, 0.0000, 0.5000), Pd at (0.0000, 0.5000, 0.8800) and Pd at (0.5000, 0.5000, 0.5000).

***

[15]
The following is a GGA-PBE calculation of a relaxed structure of SmYPt, from the Alexandria database.

It has space group P2_1/c (No. 14), with a = 6.7662 Å, b = 7.2082 Å, c = 6.9146 Å, α = 90.00°, β = 96.82° and γ = 90.00°. The distinct sites, in fractional coordinates, are Sm at (0.1001, 0.1068, 0.2703), Y at (0.4347, 0.7390, 0.4971) and Pt at (0.2928, 0.0448, 0.7035).

For the formation energy, the calculation gives -0.8756 eV per atom. The calculation puts the energy above the most stable polymorph in this dataset at 0.0000 eV per atom.

***

[16]
The following is a GGA-PBE calculation of a relaxed structure of HoEr5Tl4, from the Alexandria database.

It has space group P4/mmm (No. 123), with a = 3.5959 Å, b = 3.5959 Å, c = 21.4524 Å, α = 90.00°, β = 90.00° and γ = 90.00°. The distinct sites, in fractional coordinates, are Ho at (0.0000, 0.0000, 0.0000), Er at (0.5000, 0.5000, 0.1126), Er at (0.5000, 0.5000, 0.3054), Er at (0.5000, 0.5000, 0.5000), Tl at (0.0000, 0.0000, 0.2094) and Tl at (0.0000, 0.0000, 0.4030).

For the formation energy, the calculation gives -0.2580 eV per atom.

***

[17]
The following is a GGA-PBE calculation of a relaxed structure of PmNdEr2In4, from the Alexandria database.

It has space group R-3m (No. 166, hexagonal axes), with a = 5.3684 Å, b = 5.3684 Å, c = 26.3559 Å, α = 90.00°, β = 90.00° and γ = 120.00°. The distinct sites, in fractional coordinates, are Pm at (0.0000, 0.0000, 0.0000), Nd at (0.0000, 0.0000, 0.5000), Er at (0.0000, 0.0000, 0.2500), In at (0.0000, 0.0000, 0.1247) and In at (0.0000, 0.0000, 0.3747).

For the formation energy, the calculation gives -0.4660 eV per atom.

***

[18]
The following is a GGA-PBE calculation of a relaxed structure of SrPrO2, from the Alexandria database.

It has space group R3m (No. 160, hexagonal axes), with a = 3.5390 Å, b = 3.5390 Å, c = 18.9473 Å, α = 90.00°, β = 90.00° and γ = 120.00°. The distinct sites, in fractional coordinates, are Sr at (0.0000, 0.0000, 0.0000), Pr at (0.0000, 0.0000, 0.8270), O at (0.0000, 0.0000, 0.2430) and O at (0.0000, 0.0000, 0.4137).

The calculation puts the energy above the most stable polymorph in this dataset at 0.1358 eV per atom.

***

[19]
The following is a GGA-PBE calculation of a relaxed structure of YEr2Pt, from the Alexandria database.

It has space group Cmcm (No. 63), with a = 3.8095 Å, b = 12.1458 Å, c = 9.1695 Å, α = 90.00°, β = 90.00° and γ = 90.00°. The distinct sites, in fractional coordinates, are Y at (0.0000, 0.0640, 0.2500), Er at (0.0000, 0.3622, 0.0621) and Pt at (0.0000, 0.2405, 0.7500).

For the formation energy, the calculation gives -0.6976 eV per atom. The calculation puts the energy above the most stable polymorph in this dataset at 0.0347 eV per atom.

***

[20]
The following is a GGA-PBE calculation of a relaxed structure of NaScAs3, from the Alexandria database.

It has space group Pm-3m (No. 221), with a = 4.9125 Å, b = 4.9125 Å, c = 4.9125 Å, α = 90.00°, β = 90.00° and γ = 90.00°. The distinct sites, in fractional coordinates, are Na at (0.0000, 0.0000, 0.0000), Sc at (0.5000, 0.5000, 0.5000) and As at (0.0000, 0.0000, 0.5000).

For the formation energy, the calculation gives 0.5841 eV per atom. The calculation puts the energy above the most stable polymorph in this dataset at 0.7172 eV per atom.

***

no.,VASP energy (eV/atom)
1,-6.845
2,-7.412
3,-3.493
4,-4.149
5,-3.875
6,-4.862
7,-6.635
8,-4.901
9,-5.627
10,-4.772
11,-4.161
12,-2.571
13,-3.995
14,-4.891
15,-6.617
16,-3.944
17,-4.166
18,-6.643
19,-6.105
20,-3.736